VASP calculation (GGA-PBEsol) on a relaxed structure of CrAg2W.

CIF file:
```
data_CrAg2W
_chemical_formula_sum 'Cr1 Ag2 W1'
_space_group_name_H-M_alt 'P m m m'
_space_group_IT_number 47
_space_group_name_Hall '-P 2 2'
_cell_length_a 3.042
_cell_length_b 4.217
_cell_length_c 4.727
_cell_angle_alpha 90.00
_cell_angle_beta 90.00
_cell_angle_gamma 90.00
loop_
_atom_site_label
_atom_site_fract_x
_atom_site_fract_y
_atom_site_fract_z
Cr1 0.000 0.000 0.000
Ag1 0.000 0.500 0.500
Ag2 0.500 0.000 0.500
W1 0.500 0.500 0.000
```

Calculated values
The calculation puts the density at 12.37 g/cm3. Its raw total energy is -6.9928 eV per atom. The calculation puts the energy above the most stable polymorph in this dataset at 26 meV per atom.

VASP calculation (GGA-PBEsol) on a relaxed structure of Tc2AsAu.

CIF file:
```
data_Tc2AsAu
_chemical_formula_sum 'Tc4 As2 Au2'
_space_group_name_H-M_alt 'I -4 m 2'
_space_group_IT_number 119
_space_group_name_Hall 'I -4 -2'
_cell_length_a 3.886
_cell_length_b 3.886
_cell_length_c 7.882
_cell_angle_alpha 90.00
_cell_angle_beta 90.00
_cell_angle_gamma 90.00
loop_
_atom_site_label
_atom_site_fract_x
_atom_site_fract_y
_atom_site_fract_z
Tc1 0.000 0.000 0.000
Tc2 0.000 0.500 0.250
As1 0.000 0.000 0.500
Au1 0.000 0.500 0.750
```

Calculated values
The calculation puts the density at 13.06 g/cm3. Its raw total energy is -7.5231 eV per atom.

VASP calculation (GGA-PBEsol) on a relaxed structure of TcH3Se.

CIF file:
```
data_TcH3Se
_chemical_formula_sum 'Tc1 H3 Se1'
_space_group_name_H-M_alt 'P m -3 m'
_space_group_IT_number 221
_space_group_name_Hall '-P 4 2 3'
_cell_length_a 3.553
_cell_length_b 3.553
_cell_length_c 3.553
_cell_angle_alpha 90.00
_cell_angle_beta 90.00
_cell_angle_gamma 90.00
loop_
_atom_site_label
_atom_site_fract_x
_atom_site_fract_y
_atom_site_fract_z
Tc1 0.000 0.000 0.000
H1 0.000 0.500 0.500
Se1 0.500 0.500 0.500
```

Calculated values
The calculation puts the density at 6.66 g/cm3. Its raw total energy is -3.6925 eV per atom.